Density functional theory data (PBE) for a relaxed structure of Ce6Au.

```
Ce6Au
1.0
-2.1225 4.5327 4.2242
-4.3859 -4.8486 -0.3858
5.7312 -2.4002 2.0703
Ce Au
6 1
direct
0.2500 0.7500 0.5000 Ce
0.5000 0.7500 0.2500 Ce
0.2500 0.5000 0.7500 Ce
0.7500 0.2500 0.5000 Ce
0.5000 0.2500 0.7500 Ce
0.7500 0.5000 0.2500 Ce
0.0000 0.0000 0.0000 Au
```

Summary:
The calculation puts the uncorrected energy at -32.55 eV per cell. As for the symmetry: Im-3m, No. 229. The calculation puts the energy of formation from the pure elements at 904 meV/atom. For the calculated density, the calculation gives 7.97 Mg/m³.

Density functional theory data (PBE) for a relaxed structure of CeAu4.

```
CeAu4
1.0
-0.9761 -3.6572 3.2983
3.3970 -3.5908 0.8794
2.5102 1.0368 4.5666
Ce Au
1 4
direct
0.0000 0.0000 0.0000 Ce
0.3858 0.3858 0.7677 Au
0.6142 0.6142 0.2323 Au
0.7479 0.7479 0.6549 Au
0.2521 0.2521 0.3451 Au
```

Summary:
The calculation puts the uncorrected energy at -21.51 eV per cell. As for the symmetry: C2/m, No. 12. The calculation puts the energy of formation from the pure elements at -493 meV/atom. For the calculated density, the calculation gives 14.41 Mg/m³.

Density functional theory data (PBE) for a relaxed structure of Ce3Au.

```
Ce3Au
1.0
3.2612 0.0000 0.0000
0.0000 5.4412 0.0000
0.0000 0.0000 5.4410
Au Ce
1 3
direct
0.0000 0.5000 0.4162 Au
0.0000 0.0000 0.9172 Ce
0.5000 0.0000 0.4170 Ce
0.5000 0.5000 0.9163 Ce
```

Summary:
The calculation puts the uncorrected energy at -22.21 eV per cell. As for the symmetry: Pmm2, No. 25. The calculation puts the energy of formation from the pure elements at -283 meV/atom. For the calculated density, the calculation gives 10.62 Mg/m³.

Density functional theory data (PBE) for a relaxed structure of Ce3Au.

```
Ce3Au
1.0
-2.2686 3.7950 2.7136
-5.1629 0.5034 -0.0613
-2.7677 -1.1387 4.2374
Au Ce
1 3
direct
0.5000 0.5000 0.5000 Au
0.0000 0.0000 0.0000 Ce
0.7500 0.7500 0.7500 Ce
0.2500 0.2500 0.2500 Ce
```

Summary:
The calculation puts the uncorrected energy at -21.85 eV per cell. As for the symmetry: Fm-3m, No. 225. The calculation puts the energy of formation from the pure elements at -194 meV/atom. For the calculated density, the calculation gives 10.38 Mg/m³.

Density functional theory data (PBE) for a relaxed structure of CeAu4.

```
CeAu4
1.0
-4.6806 0.9754 -2.7473
-1.7839 -5.0683 1.2399
-2.3058 1.9413 4.6176
Au Ce
4 1
direct
0.0000 0.0000 0.0000 Au
0.5000 0.0000 0.5000 Au
0.0000 0.5000 0.5000 Au
0.5000 0.5000 0.0000 Au
0.5000 0.5000 0.5000 Ce
```

Summary:
The calculation puts the uncorrected energy at -15.47 eV per cell. As for the symmetry: Pm-3m, No. 221. The calculation puts the energy of formation from the pure elements at 715 meV/atom. For the calculated density, the calculation gives 9.19 Mg/m³.

Density functional theory data (PBE) for a relaxed structure of Ce5Au2.

```
Ce5Au2
1.0
5.9291 -0.1406 -2.8124
-1.4152 7.0019 -3.3336
-0.1015 -0.1265 9.0981
Ce Au
10 4
direct
0.0625 0.2532 0.1500 Ce
0.9375 0.7468 0.8500 Ce
0.5625 0.8968 0.1500 Ce
0.4375 0.1032 0.8500 Ce
0.4587 0.7261 0.4385 Ce
0.0413 0.2875 0.5615 Ce
0.5413 0.2739 0.5615 Ce
0.9587 0.7125 0.4385 Ce
0.7500 0.4436 0.0000 Ce
0.2500 0.5564 0.0000 Ce
0.3946 0.6579 0.7337 Au
0.6054 0.3421 0.2663 Au
0.8946 0.0758 0.7337 Au
0.1054 0.9242 0.2663 Au
```

Summary:
The calculation puts the uncorrected energy at -76.55 eV per cell. As for the symmetry: C2/c, No. 15. The calculation puts the energy of formation from the pure elements at -293 meV/atom. For the calculated density, the calculation gives 9.80 Mg/m³.

Density functional theory data (PBE) for a relaxed structure of Ce2Au3.

```
Ce2Au3
1.0
3.5907 0.0000 -0.5911
0.0000 4.6980 0.0000
0.5272 0.0000 14.4048
Ce Au
4 6
direct
0.2940 0.7500 0.5881 Ce
0.7060 0.2500 0.4119 Ce
0.5722 0.7500 0.1444 Ce
0.4278 0.2500 0.8556 Ce
0.1806 0.7500 0.3612 Au
0.8194 0.2500 0.6388 Au
0.8794 0.7500 0.7589 Au
0.1206 0.2500 0.2411 Au
0.0246 0.2500 0.0491 Au
0.9754 0.7500 0.9509 Au
```

Summary:
The calculation puts the uncorrected energy at -49.91 eV per cell. As for the symmetry: Cmcm, No. 63. The calculation puts the energy of formation from the pure elements at -651 meV/atom. The value obtained for the polymorph energy (0 for the lowest one) is 0.0 kJ/mol of atoms. For the calculated density, the calculation gives 11.83 Mg/m³.

Density functional theory data (PBE) for a relaxed structure of Ce3Au.

```
Ce3Au
1.0
3.3572 -5.8148 0.0000
3.3572 5.8148 0.0000
0.0000 0.0000 5.2785
Ce Au
6 2
direct
0.1810 0.3620 0.2500 Ce
0.6380 0.8190 0.2500 Ce
0.1810 0.8190 0.2500 Ce
0.8190 0.6380 0.7500 Ce
0.3620 0.1810 0.7500 Ce
0.8190 0.1810 0.7500 Ce
0.3333 0.6667 0.7500 Au
0.6667 0.3333 0.2500 Au
```

Summary:
The calculation puts the uncorrected energy at -43.61 eV per cell. As for the symmetry: P6_3/mmc, No. 194. The calculation puts the energy of formation from the pure elements at -181 meV/atom. For the calculated density, the calculation gives 9.95 Mg/m³.

Density functional theory data (PBE) for a relaxed structure of CeAu.

```
CeAu
1.0
-0.6947 0.2871 -4.6881
-3.8679 -4.5664 0.2936
-5.4998 4.7296 1.1046
Ce Au
4 4
direct
0.2500 0.6437 0.1806 Ce
0.7500 0.3563 0.8194 Ce
0.7500 0.1437 0.3194 Ce
0.2500 0.8563 0.6806 Ce
0.2500 0.1516 0.0431 Au
0.7500 0.8484 0.9569 Au
0.7500 0.6516 0.4569 Au
0.2500 0.3484 0.5431 Au
```

Summary:
The calculation puts the uncorrected energy at -41.84 eV per cell. As for the symmetry: Pnma, No. 62. The calculation puts the energy of formation from the pure elements at -625 meV/atom. For the calculated density, the calculation gives 10.73 Mg/m³.

Density functional theory data (PBE) for a relaxed structure of Ce3Au.

```
Ce3Au
1.0
4.6859 0.0000 0.0000
0.0000 4.6859 0.0000
0.0000 0.0000 4.6859
Au Ce
1 3
direct
0.0000 0.0000 0.0000 Au
0.0000 0.5000 0.5000 Ce
0.5000 0.0000 0.5000 Ce
0.5000 0.5000 0.0000 Ce
```

Summary:
The calculation puts the uncorrected energy at -21.74 eV per cell. As for the symmetry: Pm-3m, No. 221. The calculation puts the energy of formation from the pure elements at -164 meV/atom. For the calculated density, the calculation gives 9.96 Mg/m³.

Density functional theory data (PBE) for a relaxed structure of Ce4AuCl6.

```
Ce4AuCl6
1.0
7.0372 0.0000 0.0000
0.0000 9.6344 0.0000
0.0000 0.0000 9.6344
Ce Au Cl
8 2 12
direct
0.2956 0.0000 0.2524 Ce
0.7956 0.7524 0.5000 Ce
0.7956 0.2476 0.5000 Ce
0.2956 0.0000 0.7476 Ce
0.2044 0.5000 0.7524 Ce
0.7044 0.2524 0.0000 Ce
0.7044 0.7476 0.0000 Ce
0.2044 0.5000 0.2476 Ce
0.0000 0.5000 0.5000 Au
0.5000 0.0000 0.0000 Au
0.5000 0.7177 0.2823 Cl
0.5000 0.2823 0.2823 Cl
0.0336 0.0000 0.5000 Cl
0.5336 0.0000 0.5000 Cl
0.5000 0.2823 0.7177 Cl
0.5000 0.7177 0.7177 Cl
0.0000 0.7823 0.7823 Cl
0.0000 0.2177 0.7823 Cl
0.9664 0.5000 0.0000 Cl
0.4664 0.5000 0.0000 Cl
0.0000 0.7823 0.2177 Cl
0.0000 0.2177 0.2177 Cl
```

Summary:
The calculation puts the uncorrected energy at -110.12 eV per cell. As for the symmetry: P4_2/nmc, No. 137. Its energy relative to the elements, uncorrected is -1542 meV per atom. For the calculated density, the calculation gives 4.93 Mg/m³.

Density functional theory data (PBE) for a relaxed structure of Ce2CoAu.

```
Ce2CoAu
1.0
3.9520 0.0000 0.0000
1.9760 3.4226 0.0000
1.9760 1.1409 7.0978
Ce Co Au
2 1 1
direct
0.0689 0.0689 0.7932 Ce
0.2645 0.2645 0.2065 Ce
0.6661 0.6661 0.0016 Co
0.5004 0.5004 0.4988 Au
```

Summary:
The calculation puts the uncorrected energy at -23.61 eV per cell. As for the symmetry: R3m, No. 160. The calculation puts the energy of formation from the pure elements at -340 meV/atom. For the calculated density, the calculation gives 9.27 Mg/m³.